Run 1
Entry from Alexandria: an optimized crystal structure of VSiOF2 (PBE+U).

Structure (POSCAR):
```
VSiOF2
1.0
-0.775 1.286 -4.072
-0.603 -4.130 -1.190
-3.384 0.283 0.733
O V F Si
1 1 2 1
direct
0.000 0.000 0.500 O
0.500 0.500 0.500 V
0.500 0.000 0.000 F
0.000 0.500 0.000 F
0.000 0.000 0.000 Si
```

Output
The density of states at the Fermi level is 2.72 states/eV per cell. The value obtained for the theoretical density is 3.4 Mg/m³. The value obtained for the volume is 13.08 Å³/atom.

Run 2
Entry from Alexandria: an optimized crystal structure of VSiOF2 (PBE+U).

Structure (POSCAR):
```
VSiOF2
1.0
-1.159 -0.570 -3.921
0.769 -4.040 0.360
-3.609 -0.584 1.152
V O Si F
1 1 1 2
direct
0.000 0.000 0.000 V
0.000 0.000 0.500 O
0.500 0.500 0.500 Si
0.500 0.000 0.000 F
0.000 0.500 0.000 F
```

Output
The density of states at the Fermi level is 2.37 states/eV per cell. The value obtained for the theoretical density is 3.4 Mg/m³. The value obtained for the volume is 13.06 Å³/atom.

Most stable pick: run 2. Distance to second place: 90 meV per atom.

Run 1
Entry from Alexandria: an optimized crystal structure of SiWOF2 (PBE+U).

Structure (POSCAR):
```
SiWOF2
1.0
-2.169 0.661 -3.923
3.448 -1.915 -2.229
-1.526 -3.118 0.318
Si F O W
1 2 1 1
direct
0.000 0.000 0.000 Si
0.000 0.500 0.000 F
0.500 0.000 0.000 F
0.000 0.000 0.500 O
0.500 0.500 0.500 W
```

Output
The density of states at the Fermi level is 1.46 states/eV per cell. The value obtained for the theoretical density is 6.2 Mg/m³. The value obtained for the volume is 14.31 Å³/atom.

Run 2
Entry from Alexandria: an optimized crystal structure of SiWOF2 (PBE+U).

Structure (POSCAR):
```
SiWOF2
1.0
4.245 0.000 0.000
0.000 4.245 0.000
0.000 0.000 4.237
F W O Si
2 1 1 1
direct
0.000 0.500 0.000 F
0.500 0.000 0.000 F
0.000 0.000 0.000 W
0.000 0.000 0.500 O
0.500 0.500 0.500 Si
```

Output
The density of states at the Fermi level is 2.24 states/eV per cell. The value obtained for the theoretical density is 5.8 Mg/m³. The value obtained for the volume is 15.27 Å³/atom.

Most stable pick: run 2. Distance to second place: 286 meV per atom.